[1]
Pm2PrCd2Pb2: relaxed, PBE-GGA.

```
Pm2PrCd2Pb2
1.0
2.5678 1.4825 9.0568
-2.5678 1.4825 9.0568
0.0000 -2.9651 9.0568
Pm Pr Cd Pb
2 1 2 2
Direct
0.1332 0.1332 0.1332
0.8668 0.8668 0.8668
0.0000 0.0000 0.0000
0.4286 0.4286 0.4286
0.5714 0.5714 0.5714
0.2698 0.2698 0.2698
0.7302 0.7302 0.7302
```

* symmetry: R-3m (166)
* V: 206.9 Å³ per cell
* ΔH_f (0 K): -230 meV/atom
* final energy: -3.591 eV/atom



[2]
PmPuCdPb: relaxed, PBE-GGA.

```
PmPuCdPb
1.0
7.7115 0.0000 0.0000
0.0000 7.7115 0.0000
0.0000 0.0000 7.7115
Pm Pu Cd Pb
4 4 4 4
Direct
0.0000 0.0000 0.0000
0.0000 0.5000 0.5000
0.5000 0.0000 0.5000
0.5000 0.5000 0.0000
0.0000 0.0000 0.5000
0.0000 0.5000 0.0000
0.5000 0.0000 0.0000
0.5000 0.5000 0.5000
0.2500 0.2500 0.7500
0.2500 0.7500 0.2500
0.7500 0.2500 0.2500
0.7500 0.7500 0.7500
0.2500 0.2500 0.2500
0.2500 0.7500 0.7500
0.7500 0.2500 0.7500
0.7500 0.7500 0.2500
```

* symmetry: F-43m (216)
* V: 458.6 Å³ per cell
* ΔH_f (0 K): -226 meV/atom
* final energy: -6.152 eV/atom



[3]
PmScCdPb: relaxed, PBE-GGA.

```
PmScCdPb
1.0
7.4636 0.0000 0.0000
0.0000 7.4636 0.0000
0.0000 0.0000 7.4636
Pm Sc Cd Pb
4 4 4 4
Direct
0.0000 0.0000 0.0000
0.0000 0.5000 0.5000
0.5000 0.0000 0.5000
0.5000 0.5000 0.0000
0.0000 0.0000 0.5000
0.0000 0.5000 0.0000
0.5000 0.0000 0.0000
0.5000 0.5000 0.5000
0.2500 0.2500 0.7500
0.2500 0.7500 0.2500
0.7500 0.2500 0.2500
0.7500 0.7500 0.7500
0.2500 0.2500 0.2500
0.2500 0.7500 0.7500
0.7500 0.2500 0.7500
0.7500 0.7500 0.2500
```

* symmetry: F-43m (216)
* V: 415.8 Å³ per cell
* ΔH_f (0 K): -353 meV/atom
* final energy: -4.280 eV/atom



[4]
PmSmCdPb: relaxed, PBE-GGA.

```
PmSmCdPb
1.0
7.7026 0.0000 0.0000
0.0000 7.7026 0.0000
0.0000 0.0000 7.7026
Pm Sm Cd Pb
4 4 4 4
Direct
0.0000 0.0000 0.0000
0.0000 0.5000 0.5000
0.5000 0.0000 0.5000
0.5000 0.5000 0.0000
0.0000 0.0000 0.5000
0.0000 0.5000 0.0000
0.5000 0.0000 0.0000
0.5000 0.5000 0.5000
0.2500 0.2500 0.2500
0.2500 0.7500 0.7500
0.7500 0.2500 0.7500
0.7500 0.7500 0.2500
0.2500 0.2500 0.7500
0.2500 0.7500 0.2500
0.7500 0.2500 0.2500
0.7500 0.7500 0.7500
```

* symmetry: F-43m (216)
* V: 457.0 Å³ per cell
* ΔH_f (0 K): -428 meV/atom
* final energy: -3.952 eV/atom



[5]
PmCdSnPb: relaxed, PBE-GGA.

```
PmCdSnPb
1.0
7.7065 0.0000 0.0000
0.0000 7.7065 0.0000
0.0000 0.0000 7.7065
Pm Cd Sn Pb
4 4 4 4
Direct
0.0000 0.0000 0.0000
0.0000 0.5000 0.5000
0.5000 0.0000 0.5000
0.5000 0.5000 0.0000
0.2500 0.2500 0.2500
0.2500 0.7500 0.7500
0.7500 0.2500 0.7500
0.7500 0.7500 0.2500
0.2500 0.2500 0.7500
0.2500 0.7500 0.2500
0.7500 0.2500 0.2500
0.7500 0.7500 0.7500
0.0000 0.0000 0.5000
0.0000 0.5000 0.0000
0.5000 0.0000 0.0000
0.5000 0.5000 0.5000
```

* energy above the most stable polymorph in this dataset: 207 meV/atom
* symmetry: F-43m (216)
* V: 457.7 Å³ per cell
* ΔH_f (0 K): -227 meV/atom
* final energy: -3.571 eV/atom



[6]
PmCdSnPb: relaxed, PBE-GGA.

```
PmCdSnPb
1.0
4.5569 0.0000 0.0000
0.0000 4.8350 0.0000
0.0000 0.0000 4.8578
Pm Cd Sn Pb
1 1 1 1
Direct
0.0000 0.0000 0.0000
0.0000 0.5000 0.5000
0.5000 0.5000 0.0000
0.5000 0.0000 0.5000
```

* energy above the most stable polymorph in this dataset: 0 meV/atom
* symmetry: Pmmm (47)
* V: 107.0 Å³ per cell
* ΔH_f (0 K): -434 meV/atom
* final energy: -3.778 eV/atom



[7]
PmZnCdPb: relaxed, PBE-GGA.

```
PmZnCdPb
1.0
7.4025 0.0000 0.0000
0.0000 7.4025 0.0000
0.0000 0.0000 7.4025
Pm Zn Cd Pb
4 4 4 4
Direct
0.0000 0.0000 0.0000
0.0000 0.5000 0.5000
0.5000 0.0000 0.5000
0.5000 0.5000 0.0000
0.2500 0.2500 0.2500
0.2500 0.7500 0.7500
0.7500 0.2500 0.7500
0.7500 0.7500 0.2500
0.2500 0.2500 0.7500
0.2500 0.7500 0.2500
0.7500 0.2500 0.2500
0.7500 0.7500 0.7500
0.0000 0.0000 0.5000
0.0000 0.5000 0.0000
0.5000 0.0000 0.0000
0.5000 0.5000 0.5000
```

* symmetry: F-43m (216)
* V: 405.6 Å³ per cell
* ΔH_f (0 K): -155 meV/atom
* final energy: -2.817 eV/atom



[8]
Pr3CdPb3: relaxed, PBE-GGA.

```
Pr3CdPb3
1.0
6.0704 -2.3825 0.0000
6.0704 2.3825 0.0000
-4.8588 0.0000 14.9583
Pr Cd Pb
6 2 6
Direct
0.0173 0.0173 0.3773
0.1005 0.1005 0.9229
0.2289 0.2289 0.2259
0.7711 0.7711 0.7741
0.8995 0.8995 0.0771
0.9827 0.9827 0.6227
0.2754 0.2754 0.6237
0.7246 0.7246 0.3763
0.3597 0.3597 0.4564
0.3728 0.3728 0.9248
0.4997 0.4997 0.2260
0.5003 0.5003 0.7740
0.6272 0.6272 0.0752
0.6403 0.6403 0.5436
```

* energy above the most stable polymorph in this dataset: 0 meV/atom
* symmetry: C2/m (12)
* V: 432.7 Å³ per cell
* ΔH_f (0 K): -490 meV/atom
* final energy: -4.259 eV/atom



[9]
Pr3CdPb3: relaxed, PBE-GGA.

```
Pr3CdPb3
1.0
9.5508 0.0000 0.0000
-4.7754 8.2713 0.0000
0.0000 0.0000 6.4510
Pr Cd Pb
6 2 6
Direct
0.0527 0.3742 0.2500
0.3215 0.9473 0.2500
0.3742 0.3215 0.7500
0.6258 0.6785 0.2500
0.6785 0.0527 0.7500
0.9473 0.6258 0.7500
0.3333 0.6667 0.7500
0.6667 0.3333 0.2500
0.0442 0.3380 0.7500
0.2937 0.9558 0.7500
0.3380 0.2937 0.2500
0.6620 0.7063 0.7500
0.7063 0.0442 0.2500
0.9558 0.6620 0.2500
```

* energy above the most stable polymorph in this dataset: 199 meV/atom
* symmetry: P6_3/m (176)
* V: 509.6 Å³ per cell
* ΔH_f (0 K): -292 meV/atom
* final energy: -4.060 eV/atom



[10]
Pr3CdPb: relaxed, PBE-GGA.

```
Pr3CdPb
1.0
5.6431 -5.9864 0.0000
5.6431 5.9864 0.0000
-2.9852 0.0000 9.5371
Pr Cd Pb
12 4 4
Direct
0.0219 0.3824 0.6233
0.0658 0.7512 0.9018
0.2488 0.9342 0.5982
0.3059 0.3365 0.4016
0.3365 0.3059 0.9016
0.3824 0.0219 0.1233
0.6176 0.9781 0.8767
0.6635 0.6941 0.0984
0.6941 0.6635 0.5984
0.7512 0.0658 0.4018
0.9342 0.2488 0.0982
0.9781 0.6176 0.3767
0.2152 0.5578 0.1415
0.4422 0.7848 0.3585
0.5578 0.2152 0.6415
0.7848 0.4422 0.8585
0.0556 0.9444 0.2500
0.3755 0.6245 0.7500
0.6245 0.3755 0.2500
0.9444 0.0556 0.7500
```

* symmetry: C2/c (15)
* V: 644.4 Å³ per cell
* ΔH_f (0 K): -225 meV/atom
* final energy: -4.018 eV/atom



[11]
Pr8CdPb2: relaxed, PBE-GGA.

```
Pr8CdPb2
1.0
10.0530 -2.6996 0.0000
10.0530 2.6996 0.0000
-1.8485 0.0000 6.8250
Pr Cd Pb
8 1 2
Direct
0.0129 0.0129 0.2684
0.2115 0.2115 0.8223
0.3429 0.3429 0.4995
0.4081 0.4081 0.0181
0.5919 0.5919 0.9819
0.6571 0.6571 0.5005
0.7885 0.7885 0.1777
0.9871 0.9871 0.7316
0.5000 0.5000 0.5000
0.1783 0.1783 0.2562
0.8217 0.8217 0.7438
```

* symmetry: C2/m (12)
* V: 370.4 Å³ per cell
* ΔH_f (0 K): -227 meV/atom
* final energy: -4.460 eV/atom



[12]
Pr4Cd2Pb: relaxed, PBE-GGA.

```
Pr4Cd2Pb
1.0
2.7224 1.5718 8.7823
-2.7224 1.5718 8.7823
0.0000 -3.1436 8.7823
Pr Cd Pb
4 2 1
Direct
0.1170 0.1170 0.1170
0.3696 0.3696 0.3696
0.6304 0.6304 0.6304
0.8830 0.8830 0.8830
0.2479 0.2479 0.2479
0.7521 0.7521 0.7521
0.5000 0.5000 0.5000
```

* symmetry: R-3m (166)
* V: 225.5 Å³ per cell
* ΔH_f (0 K): -222 meV/atom
* final energy: -3.744 eV/atom